#P
A plane-wave DFT calculation with GGA+U was carried out for a relaxed WI2BrO crystal.

Unit cell a=6.280 b=6.280 c=3.815 alpha=90.00 beta=90.00 gamma=90.00
Space group P4/mmm (No. 123)
Unique sites:
W 0.000 0.000 0.000 (multiplicity 1)
I 0.000 0.500 0.500 (multiplicity 2)
Br 0.500 0.500 0.500 (multiplicity 1)
O 0.500 0.500 0.000 (multiplicity 1)

***

#Q
A plane-wave DFT calculation with GGA+U was carried out for a relaxed WI2BrO crystal.

Unit cell a=5.941 b=5.941 c=3.879 alpha=90.00 beta=90.00 gamma=90.00
Space group P4/mmm (No. 123)
Unique sites:
W 0.000 0.000 0.000 (multiplicity 1)
I 0.000 0.500 0.000 (multiplicity 2)
Br 0.500 0.500 0.500 (multiplicity 1)
O 0.000 0.000 0.500 (multiplicity 1)

***

Least stable = #P

***

#P
A plane-wave DFT calculation with GGA+U was carried out for a relaxed WIBrO2 crystal.

Unit cell a=4.068 b=4.068 c=7.068 alpha=90.00 beta=90.00 gamma=90.00
Space group P4/mmm (No. 123)
Unique sites:
W 0.000 0.000 0.000 (multiplicity 1)
I 0.500 0.500 0.000 (multiplicity 1)
Br 0.500 0.500 0.500 (multiplicity 1)
O 0.000 0.500 0.500 (multiplicity 2)

***

#Q
A plane-wave DFT calculation with GGA+U was carried out for a relaxed WIBrO2 crystal.

Unit cell a=4.055 b=4.055 c=6.038 alpha=90.00 beta=90.00 gamma=90.00
Space group P4/mmm (No. 123)
Unique sites:
W 0.000 0.000 0.000 (multiplicity 1)
I 0.000 0.000 0.500 (multiplicity 1)
Br 0.500 0.500 0.500 (multiplicity 1)
O 0.000 0.500 0.000 (multiplicity 2)

***

Least stable = #P